Compound: KSrHgRh2
Source: Alexandria
Functional: GGA-PBEsol
Structure: optimized geometry

abc: 4.8166 4.8166 5.4302
angles: 90.00 90.00 90.00
Closest atoms and distances in Å follow each position.
Element x y z (fractional)
1 Sr 0.5000 0.5000 0.5000  4 Hg 3.41, 8 Rh 3.63
2 K 0.0000 0.0000 0.0000  4 Rh 2.41
3 Rh 0.0000 0.5000 0.0000  2 K 2.41
4 Rh 0.5000 0.0000 0.0000  2 K 2.41
5 Hg 0.0000 0.0000 0.5000  2 K 2.72

DOS at the Fermi energy = 0.8450 states/eV per atom
Energy relative to the elements = 5.87 eV per formula unit

Compound: KHgRu
Source: Alexandria
Functional: GGA-PBEsol
Structure: optimized geometry

abc: 4.7170 4.7170 4.7170
angles: 60.00 60.00 60.00
Closest atoms and distances in Å follow each position.
Element x y z (fractional)
1 K 0.5000 0.5000 0.5000  4 Ru 2.89
2 Hg 0.0000 0.0000 0.0000  4 Ru 2.89
3 Ru 0.2500 0.2500 0.2500  4 Hg 2.89, 4 K 2.89

E above lowest polymorph = 363 meV/atom
DOS at the Fermi energy = 2.0724 states/eV per atom
Energy relative to the elements = 3.81 eV per formula unit

Compound: KHgRu
Source: Alexandria
Functional: GGA-PBEsol
Structure: optimized geometry

abc: 4.9112 4.9112 4.9112
angles: 60.00 60.00 60.00
Closest atoms and distances in Å follow each position.
Element x y z (fractional)
1 K 0.2500 0.2500 0.2500  4 Hg 3.01, 4 Ru 3.01
2 Ru 0.0000 0.0000 0.0000  4 K 3.01
3 Hg 0.5000 0.5000 0.5000  4 K 3.01

E above lowest polymorph = 927 meV/atom
DOS at the Fermi energy = 1.9695 states/eV per atom
Energy relative to the elements = 5.50 eV per formula unit

Compound: KHgRu2
Source: Alexandria
Functional: GGA-PBEsol
Structure: optimized geometry

abc: 2.7777 2.7777 10.3772
angles: 90.00 90.00 117.43
Closest atoms and distances in Å follow each position.
Element x y z (fractional)
1 K 0.5000 0.5000 0.0000  6 K 2.78-2.88
2 Ru 0.0000 0.0000 0.2708  6 Ru 2.78-2.88, 2 Hg 2.78
3 Ru 0.0000 0.0000 0.7292  6 Ru 2.78-2.88, 2 Hg 2.78
4 Hg 0.5000 0.5000 0.5000  6 Hg 2.78-2.88, 4 Ru 2.78

DOS at the Fermi energy = 1.2255 states/eV per atom
Energy relative to the elements = 4.23 eV per formula unit

Compound: KHgRu
Source: Alexandria
Functional: GGA-PBEsol
Structure: optimized geometry

abc: 2.7188 5.1393 5.1393
angles: 120.00 90.00 90.00
Closest atoms and distances in Å follow each position.
Element x y z (fractional)
1 Hg 0.1654 0.0000 0.0000  2 Hg 2.72, 3 Ru 2.97
2 K 0.6671 0.3333 0.6667  2 K 2.72
3 Ru 0.1675 0.6667 0.3333  2 Ru 2.72, 3 Hg 2.97

E above lowest polymorph = 0 meV/atom
DOS at the Fermi energy = 0.7520 states/eV per atom
Energy relative to the elements = 2.72 eV per formula unit

Compound: KZnHg2Ru
Source: Alexandria
Functional: GGA-PBEsol
Structure: optimized geometry

abc: 5.3831 5.6155 5.6155
angles: 90.00 90.00 90.00
Closest atoms and distances in Å follow each position.
Element x y z (fractional)
1 Ru 0.5000 0.5000 0.5000  8 Hg 3.89, 4 Zn 3.97
2 Hg 0.0000 0.5000 0.0000  2 K 2.81
3 Hg 0.0000 0.0000 0.5000  2 K 2.81
4 K 0.0000 0.0000 0.0000  2 Zn 2.69, 4 Hg 2.81
5 Zn 0.5000 0.0000 0.0000  2 K 2.69

DOS at the Fermi energy = 1.2442 states/eV per atom
Energy relative to the elements = 8.78 eV per formula unit

Compound: K2HgS2
Source: Alexandria
Functional: GGA-PBEsol
Structure: optimized geometry

abc: 6.9480 7.9923 10.6859
angles: 90.00 90.00 90.00
Closest atoms and distances in Å follow each position.
Element x y z (fractional)
1 S 0.2500 0.4150 0.3934  1 Hg 2.33
2 S 0.7500 0.0786 0.8361  1 Hg 2.32
3 S 0.7500 0.5786 0.1639  1 Hg 2.32
4 S 0.7500 0.0850 0.3934  1 Hg 2.33
5 S 0.2500 0.9214 0.1639  1 Hg 2.32
6 S 0.7500 0.5850 0.6066  1 Hg 2.33
7 S 0.2500 0.9150 0.6066  1 Hg 2.33
8 S 0.2500 0.4214 0.8361  1 Hg 2.32
9 Hg 0.7500 0.3389 0.2868  2 S 2.32-2.33
10 Hg 0.2500 0.6611 0.7132  2 S 2.32-2.33
11 Hg 0.7500 0.8389 0.7132  2 S 2.32-2.33
12 Hg 0.2500 0.1611 0.2868  2 S 2.32-2.33
13 K 0.0000 0.2500 0.6056  6 S 3.15-3.31, 2 K 3.47
14 K 0.0000 0.7500 0.3944  6 S 3.15-3.31, 2 K 3.47
15 K 0.7500 0.4531 0.8873  3 S 3.04-3.18
16 K 0.5000 0.7500 0.3944  6 S 3.15-3.31, 2 K 3.47
17 K 0.7500 0.9531 0.1127  3 S 3.04-3.18
18 K 0.5000 0.2500 0.6056  6 S 3.15-3.31, 2 K 3.47
19 K 0.2500 0.5469 0.1127  3 S 3.04-3.18
20 K 0.2500 0.0469 0.8873  3 S 3.04-3.18

Formation energy from raw total energies = -839 meV per atom
DOS at the Fermi energy = 0.0000 states/eV per atom

Compound: K2Sn2Hg3S8
Source: Alexandria
Functional: GGA-PBEsol
Structure: optimized geometry

abc: 6.4759 6.4759 19.5094
angles: 90.00 90.00 98.89
Closest atoms and distances in Å follow each position.
Element x y z (fractional)
1 Sn 0.3788 0.9470 0.8672  4 S 2.36-2.43
2 Sn 0.9470 0.3788 0.1328  4 S 2.36-2.43
3 Sn 0.4470 0.8788 0.3672  4 S 2.36-2.43
4 Sn 0.8788 0.4470 0.6328  4 S 2.36-2.43
5 S 0.3081 0.3312 0.1235  1 Sn 2.41, 1 Hg 2.43
6 S 0.7424 0.9037 0.8676  1 Sn 2.41, 1 Hg 2.45
7 S 0.3312 0.3081 0.8765  1 Sn 2.41, 1 Hg 2.43
8 S 0.2692 0.7334 0.4703  1 Hg 2.36, 1 Sn 2.43
9 S 0.8081 0.8312 0.3765  1 Sn 2.41, 1 Hg 2.43
10 S 0.2930 0.7193 0.2670  1 Sn 2.36
11 S 0.4037 0.2424 0.3676  1 Sn 2.41, 1 Hg 2.45
12 S 0.7334 0.2692 0.5297  1 Hg 2.36, 1 Sn 2.43
13 S 0.7930 0.2193 0.2330  1 Sn 2.36
14 S 0.7692 0.2334 0.0297  1 Hg 2.36, 1 Sn 2.43
15 S 0.7193 0.2930 0.7330  1 Sn 2.36
16 S 0.2193 0.7930 0.7670  1 Sn 2.36
17 S 0.2424 0.4037 0.6324  1 Sn 2.41, 1 Hg 2.45
18 S 0.8312 0.8081 0.6235  1 Sn 2.41, 1 Hg 2.43
19 S 0.2334 0.7692 0.9703  1 Hg 2.36, 1 Sn 2.43
20 S 0.9037 0.7424 0.1324  1 Sn 2.41, 1 Hg 2.45
21 Hg 0.0057 0.0057 0.0000  2 S 2.36
22 Hg 0.8156 0.8921 0.7448  2 S 2.43-2.45
23 Hg 0.3921 0.3156 0.2448  2 S 2.43-2.45
24 Hg 0.8921 0.8156 0.2552  2 S 2.43-2.45
25 Hg 0.3156 0.3921 0.7552  2 S 2.43-2.45
26 Hg 0.5057 0.5057 0.5000  2 S 2.36
27 K 0.8662 0.4477 0.8818  7 S 3.17-3.50
28 K 0.3662 0.9477 0.6182  7 S 3.17-3.50
29 K 0.4477 0.8662 0.1182  7 S 3.17-3.50
30 K 0.9477 0.3662 0.3818  7 S 3.17-3.50

Formation energy from raw total energies = -527 meV per atom

Compound: KHgSb2
Source: Alexandria
Functional: GGA-PBEsol
Structure: optimized geometry

abc: 4.0779 5.6683 6.3975
angles: 116.30 108.59 90.00
Closest atoms and distances in Å follow each position.
Element x y z (fractional)
1 K 0.2643 0.7643 0.5287  8 Sb 3.52-3.72, 4 Hg 3.61-3.73
2 Sb 0.7234 0.2234 0.4468  2 Sb 2.83
3 Sb 0.0397 0.0397 0.0794  2 Sb 2.83
4 Hg 0.4726 0.4726 0.9452  6 Sb 3.36-3.56, 4 K 3.61-3.73

Formation energy from raw total energies = -151 meV per atom
DOS at the Fermi energy = 0.2610 states/eV per atom

Compound: KHgSb2
Source: Alexandria
Functional: GGA-PBEsol
Structure: optimized geometry

abc: 3.9666 3.9666 7.7825
angles: 90.00 90.00 90.00
Closest atoms and distances in Å follow each position.
Element x y z (fractional)
1 Sb 0.5000 0.5000 0.2182  4 Sb 3.04
2 Sb 0.0000 0.0000 0.0664  4 Sb 3.04, 1 Hg 3.18
3 K 0.5000 0.5000 0.7409  4 Hg 3.49, 5 Sb 3.71-3.78
4 Hg 0.0000 0.0000 0.4746  5 Sb 3.18-3.44, 4 K 3.49

Formation energy from raw total energies = -192 meV per atom
DOS at the Fermi energy = 0.2678 states/eV per atom

Compound: K2HgSb2
Source: Alexandria
Functional: GGA-PBEsol
Structure: optimized geometry

abc: 5.5997 7.6667 7.6667
angles: 90.00 90.00 90.00
Closest atoms and distances in Å follow each position.
Element x y z (fractional)
1 Sb 0.0000 0.6356 0.1356  1 Sb 2.94, 2 Hg 2.98
2 Sb 0.0000 0.3644 0.8644  1 Sb 2.94, 2 Hg 2.98
3 Sb 0.0000 0.1356 0.3644  1 Sb 2.94, 2 Hg 2.98
4 Sb 0.0000 0.8644 0.6356  1 Sb 2.94, 2 Hg 2.98
5 Hg 0.0000 0.0000 0.0000  4 Sb 2.98
6 Hg 0.0000 0.5000 0.5000  4 Sb 2.98
7 K 0.5000 0.3327 0.1673  6 Sb 3.52-3.65, 1 K 3.63
8 K 0.5000 0.8327 0.3327  6 Sb 3.52-3.65, 1 K 3.63
9 K 0.5000 0.1673 0.6673  6 Sb 3.52-3.65, 1 K 3.63
10 K 0.5000 0.6673 0.8327  6 Sb 3.52-3.65, 1 K 3.63

Formation energy from raw total energies = -321 meV per atom
DOS at the Fermi energy = 0.0826 states/eV per atom

Compound: KHgSb
Source: Alexandria
Functional: GGA-PBEsol
Structure: optimized geometry

abc: 4.7922 4.7922 10.1019
angles: 90.00 90.00 120.00
Closest atoms and distances in Å follow each position.
Element x y z (fractional)
1 K 0.0000 0.0000 0.0000  6 Sb 3.75, 6 Hg 3.75
2 K 0.0000 0.0000 0.5000  6 Hg 3.75, 6 Sb 3.75
3 Hg 0.6667 0.3333 0.2500  3 Sb 2.77
4 Hg 0.3333 0.6667 0.7500  3 Sb 2.77
5 Sb 0.6667 0.3333 0.7500  3 Hg 2.77
6 Sb 0.3333 0.6667 0.2500  3 Hg 2.77

Formation energy from raw total energies = -370 meV per atom
DOS at the Fermi energy = 0.0540 states/eV per atom

Compound: KHg2Sb
Source: Alexandria
Functional: GGA-PBEsol
Structure: optimized geometry

abc: 3.5331 3.5331 10.5091
angles: 80.32 80.32 60.00
Closest atoms and distances in Å follow each position.
Element x y z (fractional)
1 Sb 0.0000 0.0000 0.0000  6 Hg 3.20, 6 Sb 3.53
2 Hg 0.7463 0.7463 0.7611  3 Sb 3.20, 3 K 3.38, 6 Hg 3.53
3 Hg 0.2537 0.2537 0.2389  3 Sb 3.20, 3 K 3.38, 6 Hg 3.53
4 K 0.5000 0.5000 0.5000  6 Hg 3.38, 6 K 3.53

Formation energy from raw total energies = 1 meV per atom
DOS at the Fermi energy = 0.5284 states/eV per atom

Compound: KHgSb2
Source: Alexandria
Functional: GGA-PBEsol
Structure: optimized geometry

abc: 4.0521 4.0521 7.2096
angles: 90.00 90.00 90.00
Closest atoms and distances in Å follow each position.
Element x y z (fractional)
1 K 0.5000 0.5000 0.5000  2 Hg 3.60, 8 Sb 3.63
2 Sb 0.0000 0.0000 0.1914  1 Sb 2.76
3 Sb 0.0000 0.0000 0.8086  1 Sb 2.76
4 Hg 0.5000 0.5000 0.0000  8 Sb 3.18

Formation energy from raw total energies = -74 meV per atom
DOS at the Fermi energy = 0.4465 states/eV per atom

Compound: KHgSe2
Source: Alexandria
Functional: GGA-PBEsol
Structure: optimized geometry

abc: 5.1164 5.1164 5.1164
angles: 60.00 60.00 60.00
Closest atoms and distances in Å follow each position.
Element x y z (fractional)
1 Se 0.2500 0.2500 0.2500  4 K 3.13, 4 Hg 3.13
2 Se 0.7500 0.7500 0.7500  4 Hg 3.13, 4 K 3.13
3 Hg 0.0000 0.0000 0.0000  8 Se 3.13
4 K 0.5000 0.5000 0.5000  8 Se 3.13

Formation energy from raw total energies = -151 meV per atom
E above lowest polymorph = 72 meV/atom
DOS at the Fermi energy = 1.0534 states/eV per atom

Compound: K2Hg3Se4
Source: Alexandria
Functional: GGA-PBEsol
Structure: optimized geometry

abc: 6.9052 10.8177 13.8158
angles: 90.00 90.00 90.00
Closest atoms and distances in Å follow each position.
Element x y z (fractional)
1 Hg 0.4079 0.5000 0.7500  4 Se 2.68-2.70
2 Hg 0.4098 0.8338 0.7398  2 Se 2.51-2.52
3 Hg 0.5902 0.8338 0.2398  2 Se 2.51-2.52
4 Hg 0.5902 0.1662 0.2602  2 Se 2.51-2.52
5 Hg 0.4098 0.1662 0.7602  2 Se 2.51-2.52
6 Hg 0.0902 0.6662 0.2398  2 Se 2.51-2.52
7 Hg 0.9079 0.0000 0.7500  4 Se 2.68-2.70
8 Hg 0.9098 0.3338 0.7602  2 Se 2.51-2.52
9 Hg 0.9098 0.6662 0.7398  2 Se 2.51-2.52
10 Hg 0.0902 0.3338 0.2602  2 Se 2.51-2.52
11 Hg 0.0921 0.0000 0.2500  4 Se 2.68-2.70
12 Hg 0.5921 0.5000 0.2500  4 Se 2.68-2.70
13 Se 0.1722 0.6363 0.8632  2 Hg 2.51-2.70
14 Se 0.8724 0.1320 0.3722  2 Hg 2.52-2.68
15 Se 0.8724 0.8680 0.1278  2 Hg 2.52-2.68
16 Se 0.6276 0.3680 0.8722  2 Hg 2.52-2.68
17 Se 0.3724 0.6320 0.1278  2 Hg 2.52-2.68
18 Se 0.1722 0.3637 0.6368  2 Hg 2.51-2.70
19 Se 0.8278 0.3637 0.1368  2 Hg 2.51-2.70
20 Se 0.3278 0.1363 0.1368  2 Hg 2.51-2.70
21 Se 0.1276 0.8680 0.6278  2 Hg 2.52-2.68
22 Se 0.3278 0.8637 0.3632  2 Hg 2.51-2.70
23 Se 0.6722 0.8637 0.8632  2 Hg 2.51-2.70
24 Se 0.6722 0.1363 0.6368  2 Hg 2.51-2.70
25 Se 0.6276 0.6320 0.6278  2 Hg 2.52-2.68
26 Se 0.3724 0.3680 0.3722  2 Hg 2.52-2.68
27 Se 0.1276 0.1320 0.8722  2 Hg 2.52-2.68
28 Se 0.8278 0.6363 0.3632  2 Hg 2.51-2.70
29 K 0.2296 0.3836 0.0026  6 Se 3.29-3.37
30 K 0.2296 0.6164 0.4974  6 Se 3.29-3.37
31 K 0.7704 0.6164 0.9974  6 Se 3.29-3.37
32 K 0.2704 0.8836 0.9974  6 Se 3.29-3.37
33 K 0.7704 0.3836 0.5026  6 Se 3.29-3.37
34 K 0.2704 0.1164 0.5026  6 Se 3.29-3.37
35 K 0.7296 0.1164 0.0026  6 Se 3.29-3.37
36 K 0.7296 0.8836 0.4974  6 Se 3.29-3.37

Formation energy from raw total energies = -570 meV per atom

Compound: K2HgSe
Source: Alexandria
Functional: GGA-PBEsol
Structure: optimized geometry

abc: 5.5314 5.5314 5.5314
angles: 60.00 60.00 60.00
Closest atoms and distances in Å follow each position.
Element x y z (fractional)
1 Se 0.0000 0.0000 0.0000  8 K 3.39
2 K 0.2500 0.2500 0.2500  4 Hg 3.39, 4 Se 3.39
3 K 0.7500 0.7500 0.7500  4 Hg 3.39, 4 Se 3.39
4 Hg 0.5000 0.5000 0.5000  8 K 3.39

Formation energy from raw total energies = -751 meV per atom
E above lowest polymorph = 0 meV/atom
DOS at the Fermi energy = 0.0000 states/eV per atom

Compound: KHg4Se
Source: Alexandria
Functional: GGA-PBEsol
Structure: optimized geometry

abc: 6.0377 6.0377 6.0377
angles: 60.00 60.00 60.00
Closest atoms and distances in Å follow each position.
Element x y z (fractional)
1 Hg 0.3743 0.8771 0.3743  6 Hg 3.00-3.04
2 Hg 0.3743 0.3743 0.3743  6 Hg 3.00-3.04
3 Hg 0.8771 0.3743 0.3743  6 Hg 3.00-3.04
4 Hg 0.3743 0.3743 0.8771  6 Hg 3.00-3.04
5 Se 0.0000 0.0000 0.0000  12 Hg 3.54, 4 K 3.70
6 K 0.7500 0.7500 0.7500  12 Hg 3.54, 4 Se 3.70

Formation energy from raw total energies = -117 meV per atom
DOS at the Fermi energy = 0.7694 states/eV per atom

Compound: KHgSe2
Source: Alexandria
Functional: GGA-PBEsol
Structure: optimized geometry

abc: 4.0559 4.0559 6.3751
angles: 90.00 90.00 90.00
Closest atoms and distances in Å follow each position.
Element x y z (fractional)
1 Hg 0.5000 0.5000 0.0000  8 Se 3.13, 2 K 3.19
2 Se 0.0000 0.0000 0.1951  1 Se 2.49
3 Se 0.0000 0.0000 0.8049  1 Se 2.49
4 K 0.5000 0.5000 0.5000  2 Hg 3.19, 8 Se 3.46

Formation energy from raw total energies = -223 meV per atom
E above lowest polymorph = 0 meV/atom
DOS at the Fermi energy = 0.6308 states/eV per atom

Compound: KHg2Se
Source: Alexandria
Functional: GGA-PBEsol
Structure: optimized geometry

abc: 3.7998 3.7998 7.4498
angles: 90.00 90.00 90.00
Closest atoms and distances in Å follow each position.
Element x y z (fractional)
1 K 0.0000 0.0000 0.5209  5 Hg 3.36-3.57, 4 Se 3.40
2 Se 0.5000 0.5000 0.8007  5 Hg 2.98-3.02
3 Hg 0.5000 0.5000 0.2060  1 Se 3.02, 4 Hg 3.20
4 Hg 0.0000 0.0000 0.9724  4 Se 2.98, 4 Hg 3.20

Formation energy from raw total energies = -305 meV per atom
DOS at the Fermi energy = 0.3387 states/eV per atom

Number 1: magnetization 0.000 μB per cell. Number 2: magnetization 1.480 μB per cell. Number 3: magnetization 2.398 μB per cell. Number 4: magnetization 0.002 μB per cell. Number 5: magnetization 0.001 μB per cell. Number 6: magnetization 2.857 μB per cell. Number 7: magnetization 0.000 μB per cell. Number 8: magnetization 0.000 μB per cell. Number 9: magnetization 0.000 μB per cell. Number 10: magnetization 0.000 μB per cell. Number 11: magnetization 0.000 μB per cell. Number 12: magnetization 0.000 μB per cell. Number 13: magnetization 0.000 μB per cell. Number 14: magnetization 0.000 μB per cell. Number 15: magnetization 0.001 μB per cell. Number 16: magnetization 0.001 μB per cell. Number 17: magnetization 0.000 μB per cell. Number 18: magnetization 0.001 μB per cell. Number 19: magnetization 0.000 μB per cell. Number 20: magnetization 0.000 μB per cell.